Record 1
A crystal of ICl relaxed with PBEsol, computed with meta-GGA SCAN.

Cell lengths 4.287, 11.673, 12.382 Å; angles 114.20, 90.00, 90.00 degrees
Positions (direct):
1 Cl 0.343 0.884 0.092
2 Cl 0.843 0.616 0.908
3 Cl 0.657 0.116 0.908
4 Cl 0.157 0.384 0.092
5 Cl 0.709 0.344 0.456
6 Cl 0.209 0.156 0.544
7 Cl 0.291 0.656 0.544
8 Cl 0.791 0.844 0.456
9 I 0.139 0.111 0.182
10 I 0.639 0.389 0.818
11 I 0.861 0.889 0.818
12 I 0.361 0.611 0.182
13 I 0.918 0.364 0.286
14 I 0.418 0.136 0.714
15 I 0.082 0.636 0.714
16 I 0.582 0.864 0.286

Results
DOS at the Fermi energy = 0.000 states/eV/cell
Symmetry = No. 14
Uncorrected formation energy = -34.7 kJ/mol of formula units
ρ = 3.8 g cm⁻³

---

Record 2
A crystal of ICl3 relaxed with PBEsol, computed with meta-GGA SCAN.

Cell lengths 5.474, 5.863, 8.374 Å; angles 72.47, 78.60, 82.12 degrees
Positions (direct):
1 I 0.181 0.001 0.184
2 I 0.819 0.999 0.816
3 Cl 0.871 0.720 0.133
4 Cl 0.129 0.280 0.867
5 Cl 0.210 0.732 0.457
6 Cl 0.790 0.268 0.543
7 Cl 0.543 0.729 0.799
8 Cl 0.457 0.271 0.201

Results
DOS at the Fermi energy = 0.000 states/eV/cell
Symmetry = No. 2
Uncorrected formation energy = -93.3 kJ/mol of formula units
ρ = 3.1 g cm⁻³

---

Record 3
A crystal of In2ICl2 relaxed with PBEsol, computed with meta-GGA SCAN.

Cell lengths 4.657, 4.657, 7.017 Å; angles 109.38, 109.38, 90.00 degrees
Positions (direct):
1 I 0.000 0.000 0.000
2 Cl 0.250 0.750 0.500
3 Cl 0.750 0.250 0.500
4 In 0.381 0.381 0.762
5 In 0.619 0.619 0.238

Results
DOS at the Fermi energy = 3.883 states/eV/cell
Symmetry = No. 139
Uncorrected formation energy = -326.8 kJ/mol of formula units
ρ = 5.3 g cm⁻³

---

Record 4
A crystal of InICl3 relaxed with PBEsol, computed with meta-GGA SCAN.

Cell lengths 5.115, 5.115, 5.115 Å; angles 90.00, 90.00, 90.00 degrees
Positions (direct):
1 I 0.500 0.500 0.500
2 Cl 0.000 0.500 0.000
3 Cl 0.000 0.000 0.500
4 Cl 0.500 0.000 0.000
5 In 0.000 0.000 0.000

Results
DOS at the Fermi energy = 4.620 states/eV/cell
Symmetry = No. 221
Uncorrected formation energy = -267.7 kJ/mol of formula units
Polymorph energy (0 for the lowest one) = 0 meV per atom
ρ = 4.3 g cm⁻³

---

Record 5
A crystal of InIN2Cl relaxed with PBEsol, computed with meta-GGA SCAN.

Cell lengths 4.296, 4.296, 7.004 Å; angles 90.00, 90.00, 90.00 degrees
Positions (direct):
1 I 0.000 0.000 0.500
2 N 0.000 0.500 0.000
3 N 0.500 0.000 0.000
4 Cl 0.000 0.000 0.000
5 In 0.500 0.500 0.500

Results
DOS at the Fermi energy = 2.360 states/eV/cell
Symmetry = No. 123
Uncorrected formation energy = 888.0 kJ/mol of formula units
ρ = 3.9 g cm⁻³

---

Record 6
A crystal of InSbI2Cl relaxed with PBEsol, computed with meta-GGA SCAN.

Cell lengths 5.641, 5.641, 5.792 Å; angles 90.00, 90.00, 90.00 degrees
Positions (direct):
1 I 0.000 0.500 0.000
2 I 0.500 0.000 0.000
3 Sb 0.000 0.000 0.500
4 Cl 0.500 0.500 0.500
5 In 0.000 0.000 0.000

Results
DOS at the Fermi energy = 3.297 states/eV/cell
Symmetry = No. 123
Uncorrected formation energy = 117.3 kJ/mol of formula units
ρ = 4.7 g cm⁻³

---

Record 7
A crystal of IrICl2 relaxed with PBEsol, computed with meta-GGA SCAN.

Cell lengths 4.799, 4.799, 4.799 Å; angles 60.00, 60.00, 60.00 degrees
Positions (direct):
1 I 0.000 0.000 0.000
2 Ir 0.500 0.500 0.500
3 Cl 0.250 0.250 0.250
4 Cl 0.750 0.750 0.750

Results
DOS at the Fermi energy = 4.629 states/eV/cell
Symmetry = No. 225
Uncorrected formation energy = 548.5 kJ/mol of formula units
ρ = 8.3 g cm⁻³

---

Record 8
A crystal of P2IrICl relaxed with PBEsol, computed with meta-GGA SCAN.

Cell lengths 4.608, 4.608, 4.865 Å; angles 90.00, 90.00, 90.00 degrees
Positions (direct):
1 I 0.500 0.500 0.500
2 P 0.000 0.500 0.000
3 P 0.500 0.000 0.000
4 Ir 0.000 0.000 0.000
5 Cl 0.000 0.000 0.500

Results
DOS at the Fermi energy = 3.361 states/eV/cell
Symmetry = No. 123
Uncorrected formation energy = 211.8 kJ/mol of formula units
ρ = 6.7 g cm⁻³

---

Record 9
A crystal of IrS2ICl relaxed with PBEsol, computed with meta-GGA SCAN.

Cell lengths 5.078, 5.078, 4.981 Å; angles 90.00, 90.00, 90.00 degrees
Positions (direct):
1 I 0.000 0.000 0.000
2 S 0.000 0.500 0.000
3 S 0.500 0.000 0.000
4 Ir 0.500 0.500 0.500
5 Cl 0.000 0.000 0.500

Results
DOS at the Fermi energy = 3.017 states/eV/cell
Symmetry = No. 123
Uncorrected formation energy = 815.2 kJ/mol of formula units
ρ = 5.4 g cm⁻³

---

- What is the formula in the third record?
  In2ICl2